Dy6InSi2 | GGA-PBE | optimized geometry

## Properties
M_tot ... 0.00 μB/f.u.
Total energy ... -92.039 eV/cell
Formation energy (no corrections) ... -4.822 eV/f.u.

a = 8.516 Å, b = 8.516 Å, c = 8.516 Å
α = 112.19°, β = 110.81°, γ = 105.48°
Element x y z (fractional)
Dy (0.036, 0.241, 0.796)
Dy (0.185, 0.277, 0.462)
Dy (0.185, 0.723, 0.908)
Dy (0.320, 0.024, 0.704)
Dy (0.320, 0.617, 0.296)
Dy (0.445, 0.241, 0.204)
Dy (0.555, 0.759, 0.796)
Dy (0.680, 0.383, 0.704)
Dy (0.680, 0.976, 0.296)
Dy (0.815, 0.277, 0.092)
Dy (0.815, 0.723, 0.538)
Dy (0.964, 0.759, 0.204)
In (0.000, 0.000, 0.000)
In (0.500, 0.500, 0.000)
Si (0.116, 0.616, 0.500)
Si (0.369, 0.000, 0.369)
Si (0.631, 0.000, 0.631)
Si (0.884, 0.384, 0.500)